A plane-wave DFT calculation with PBE+U was carried out for a relaxed structure of MoN2ClF.

Cell lengths 4.087, 4.087, 4.164 Å; angles 90.00, 90.00, 90.00 degrees
Space group P4/mmm (No. 123)
One atom of each set of equivalent atoms:
Mo 0.000 0.000 0.000 [1 per cell]
N 0.000 0.500 0.000 [2 per cell]
Cl 0.500 0.500 0.500 [1 per cell]
F 0.000 0.000 0.500 [1 per cell]

## Properties
Mass density, g/cm3: 4.260
Energy above the lowest structure with this stoichiometry, meV/atom: 0
Energy, eV/atom: -5.137
M_tot, μB/f.u.: 0.071